Entry from Alexandria: an optimized crystal structure of SrIrW (PBE).

Cell: 3.031 3.031 7.494 Å, 90.00 90.00 120.00°
Atoms (fractional coordinates):
Ir (0.000, 0.000, 0.968)
Sr (0.667, 0.333, 0.327)
W (0.333, 0.667, 0.705)

Values from the calculation:
* SG: P3m1
* total energy: -7.02 eV/atom
* formation enthalpy at 0 K: 0.8122 eV per atom
* crystal system: trigonal
* energy above the most stable polymorph in this dataset: 0.522 eV/atom


Entry from Alexandria: an optimized crystal structure of Ho2CdRh (PBE).

Cell: 5.030 5.030 5.030 Å, 60.00 60.00 60.00°
Atoms (fractional coordinates):
Rh (0.000, 0.000, 0.000)
Ho (0.250, 0.250, 0.250)
Ho (0.750, 0.750, 0.750)
Cd (0.500, 0.500, 0.500)

Values from the calculation:
* SG: Fm-3m
* total energy: -4.90 eV/atom
* formation enthalpy at 0 K: -0.5445 eV per atom
* crystal system: cubic
* energy above the most stable polymorph in this dataset: 0.088 eV/atom


Entry from Alexandria: an optimized crystal structure of Zn2SbMo (PBE).

Cell: 3.499 3.499 5.641 Å, 90.00 90.00 90.00°
Atoms (fractional coordinates):
Mo (0.000, 0.000, 0.502)
Sb (0.500, 0.500, 0.732)
Zn (0.000, 0.000, 0.027)
Zn (0.500, 0.500, 0.239)

Values from the calculation:
* SG: P4mm
* total energy: -4.28 eV/atom
* crystal system: tetragonal


Entry from Alexandria: an optimized crystal structure of Nb2AlInPb (PBE).

Cell: 4.899 5.156 4.899 Å, 90.00 90.00 90.00°
Atoms (fractional coordinates):
Pb (0.000, 0.500, 0.000)
Nb (0.000, 0.000, 0.500)
Nb (0.500, 0.000, 0.000)
Al (0.000, 0.000, 0.000)
In (0.500, 0.500, 0.500)

Values from the calculation:
* SG: P4/mmm
* total energy: -4.99 eV/atom
* formation enthalpy at 0 K: 1.0721 eV per atom
* crystal system: tetragonal


Entry from Alexandria: an optimized crystal structure of Nd2PdN (PBE).

Cell: 3.287 3.287 7.067 Å, 90.00 90.00 90.00°
Atoms (fractional coordinates):
Nd (0.000, 0.000, 0.789)
Nd (0.000, 0.000, 0.211)
Pd (0.500, 0.500, 0.500)
N (0.500, 0.500, 0.000)

Values from the calculation:
* SG: P4/mmm
* total energy: -6.32 eV/atom
* crystal system: tetragonal
* energy above the most stable polymorph in this dataset: 0.041 eV/atom


Entry from Alexandria: an optimized crystal structure of SrOsRu3 (PBE).

Cell: 4.642 4.642 4.642 Å, 90.00 90.00 90.00°
Atoms (fractional coordinates):
Ru (0.000, 0.500, 0.000)
Ru (0.000, 0.000, 0.500)
Ru (0.500, 0.000, 0.000)
Os (0.500, 0.500, 0.500)
Sr (0.000, 0.000, 0.000)

Values from the calculation:
* SG: Pm-3m
* total energy: -4.91 eV/atom
* formation enthalpy at 0 K: 3.2418 eV per atom
* crystal system: cubic


Entry from Alexandria: an optimized crystal structure of PuBeZnIr (PBE).

Cell: 4.066 4.066 5.469 Å, 68.18 68.18 60.00°
Last column: magnetic moment on the atom in μB.
Atoms (fractional coordinates):
Pu (0.817, 0.817, 0.548)  5.15
Be (0.286, 0.286, 0.142)  0.01
Zn (0.018, 0.018, 0.946)  0.05
Ir (0.605, 0.605, 0.186)  -0.12

Values from the calculation:
* SG: R3m
* total energy: -7.31 eV/atom
* formation enthalpy at 0 K: -0.2582 eV per atom
* crystal system: trigonal


Entry from Alexandria: an optimized crystal structure of Ca2TlBr (PBE).

Cell: 4.443 4.434 6.441 Å, 90.00 90.00 90.00°
Atoms (fractional coordinates):
Tl (0.000, 0.000, 0.376)
Ca (0.000, 0.000, 0.875)
Ca (0.500, 0.500, 0.374)
Br (0.500, 0.500, 0.875)

Values from the calculation:
* SG: P4mm
* total energy: -2.85 eV/atom
* crystal system: tetragonal
* energy above the most stable polymorph in this dataset: 0.083 eV/atom


Entry from Alexandria: an optimized crystal structure of LaZrCr (PBE).

Cell: 4.799 4.799 4.799 Å, 60.00 60.00 60.00°
Last column: magnetic moment on the atom in μB.
Atoms (fractional coordinates):
Cr (0.500, 0.500, 0.500)  -3.32
La (0.750, 0.750, 0.750)  0.10
Zr (0.000, 0.000, 0.000)  0.55

Values from the calculation:
* SG: F-43m
* total energy: -6.46 eV/atom
* formation enthalpy at 0 K: 1.2421 eV per atom
* crystal system: cubic
* energy above the most stable polymorph in this dataset: 0.850 eV/atom


Entry from Alexandria: an optimized crystal structure of KCa3Si (PBE).

Cell: 5.921 5.921 5.921 Å, 90.00 90.00 90.00°
Last column: magnetic moment on the atom in μB.
Atoms (fractional coordinates):
Ca (0.000, 0.500, 0.000)  0.10
Ca (0.000, 0.000, 0.500)  0.12
Ca (0.500, 0.000, 0.000)  0.05
Si (0.500, 0.500, 0.500)  -0.06
K (0.000, 0.000, 0.000)  0.07

Values from the calculation:
* SG: Pm-3m
* total energy: -1.27 eV/atom
* crystal system: cubic
* energy above the most stable polymorph in this dataset: 1.322 eV/atom


Entry from Alexandria: an optimized crystal structure of MoRu2Rh2 (PBE).

Cell: 2.758 4.139 8.501 Å, 61.22 71.02 89.95°
Last column: magnetic moment on the atom in μB.
Atoms (fractional coordinates):
Mo (0.000, 0.000, 0.000)  -0.01
Ru (0.000, 0.500, 0.500)  0.37
Ru (0.500, 0.000, 0.500)  0.07
Rh (0.685, 0.682, 0.815)  0.01
Rh (0.315, 0.318, 0.185)  0.01

Values from the calculation:
* SG: P2/m
* total energy: -8.33 eV/atom
* formation enthalpy at 0 K: 0.4879 eV per atom
* crystal system: monoclinic
* energy above the most stable polymorph in this dataset: 0.234 eV/atom


Entry from Alexandria: an optimized crystal structure of KAgSe5 (PBE).

Cell: 7.605 7.605 11.248 Å, 104.12 104.12 128.82°
Atoms (fractional coordinates):
K (0.787, 0.713, 0.250)
K (0.213, 0.287, 0.750)
Ag (0.000, 0.000, 0.000)
Ag (0.500, 0.500, 0.500)
Se (0.162, 0.458, 0.125)
Se (0.794, 0.165, 0.473)
Se (0.958, 0.662, 0.625)
Se (0.334, 0.166, 0.250)
Se (0.335, 0.706, 0.027)
Se (0.665, 0.294, 0.973)
Se (0.666, 0.834, 0.750)
Se (0.042, 0.338, 0.375)
Se (0.206, 0.835, 0.527)
Se (0.838, 0.542, 0.875)

Values from the calculation:
* SG: C2/c
* total energy: -3.25 eV/atom
* crystal system: monoclinic


Entry from Alexandria: an optimized crystal structure of CePm2Ag2Sn2 (PBE).

Cell: 4.878 4.878 9.578 Å, 75.25 75.25 60.00°
Last column: magnetic moment on the atom in μB.
Atoms (fractional coordinates):
Ce (0.000, 0.000, 0.000)  0.94
Pm (0.130, 0.130, 0.611)  0.05
Pm (0.870, 0.870, 0.389)  0.05
Ag (0.589, 0.589, 0.234)  0.01
Ag (0.411, 0.411, 0.766)  0.01
Sn (0.736, 0.736, 0.792)  -0.01
Sn (0.264, 0.264, 0.208)  -0.01

Values from the calculation:
* SG: R-3m
* total energy: -4.54 eV/atom
* formation enthalpy at 0 K: -0.3785 eV per atom
* crystal system: trigonal


Entry from Alexandria: an optimized crystal structure of Y2ScPd (PBE).

Cell: 8.313 8.313 6.654 Å, 51.34 51.34 90.00°
Atoms (fractional coordinates):
Y (0.684, 0.125, 0.250)
Y (0.066, 0.625, 0.250)
Y (0.375, 0.316, 0.750)
Y (0.875, 0.934, 0.750)
Sc (0.500, 0.500, 0.000)
Sc (0.250, 0.750, 0.500)
Pd (0.000, 0.000, 0.000)
Pd (0.750, 0.250, 0.500)

Values from the calculation:
* SG: I-42d
* total energy: -6.28 eV/atom
* formation enthalpy at 0 K: -0.1687 eV per atom
* crystal system: tetragonal
* energy above the most stable polymorph in this dataset: 0.218 eV/atom


Entry from Alexandria: an optimized crystal structure of FeSiBP (PBE).

Cell: 3.382 3.963 4.166 Å, 100.72 108.52 111.57°
Atoms (fractional coordinates):
P (0.939, 0.186, 0.685)
Si (0.517, 0.660, 0.193)
B (0.808, 0.268, 0.156)
Fe (0.256, 0.776, 0.649)

Values from the calculation:
* SG: P1
* total energy: -6.34 eV/atom
* crystal system: triclinic
* energy above the most stable polymorph in this dataset: 0.254 eV/atom


Entry from Alexandria: an optimized crystal structure of SmZn4Pt2 (PBE).

Cell: 3.988 4.046 8.048 Å, 104.56 90.00 90.00°
Atoms (fractional coordinates):
Sm (0.000, 0.000, 0.000)
Zn (0.500, 0.810, 0.621)
Zn (0.000, 0.690, 0.381)
Zn (0.500, 0.190, 0.379)
Zn (0.000, 0.310, 0.619)
Pt (0.500, 0.585, 0.170)
Pt (0.500, 0.415, 0.830)

Values from the calculation:
* SG: Cmmm
* total energy: -3.71 eV/atom
* formation enthalpy at 0 K: -0.5787 eV per atom
* crystal system: orthorhombic
* energy above the most stable polymorph in this dataset: 0.079 eV/atom


Entry from Alexandria: an optimized crystal structure of NaPrAg (PBE).

Cell: 3.426 5.201 5.201 Å, 120.00 90.00 90.00°
Last column: magnetic moment on the atom in μB.
Atoms (fractional coordinates):
Pr (0.333, 0.333, 0.667)  0.10
Na (0.834, 0.000, 0.000)  0.00
Ag (0.833, 0.667, 0.333)  0.01

Values from the calculation:
* SG: P-6m2
* total energy: -2.92 eV/atom
* formation enthalpy at 0 K: 0.0590 eV per atom
* crystal system: hexagonal
* energy above the most stable polymorph in this dataset: 0.134 eV/atom


Entry from Alexandria: an optimized crystal structure of CrTcGe2Bi (PBE).

Cell: 4.666 4.634 4.666 Å, 90.00 90.00 90.00°
Last column: magnetic moment on the atom in μB.
Atoms (fractional coordinates):
Cr (0.000, 0.000, 0.000)  -0.39
Ge (0.000, 0.000, 0.500)  -0.01
Ge (0.500, 0.000, 0.000)  0.02
Bi (0.500, 0.500, 0.500)  -0.08
Tc (0.000, 0.500, 0.000)  0.86

Values from the calculation:
* SG: P4/mmm
* total energy: -5.96 eV/atom
* formation enthalpy at 0 K: 0.6571 eV per atom
* crystal system: tetragonal


Entry from Alexandria: an optimized crystal structure of Sr3Tl7Ag2 (PBE).

Cell: 4.405 5.125 16.459 Å, 99.33 90.00 90.00°
Atoms (fractional coordinates):
Sr (0.000, 0.827, 0.646)
Sr (0.000, 0.173, 0.354)
Sr (0.500, 0.500, 0.000)
Tl (0.500, 0.921, 0.833)
Tl (0.500, 0.079, 0.167)
Tl (0.500, 0.724, 0.451)
Tl (0.500, 0.276, 0.549)
Tl (0.000, 0.000, 0.000)
Tl (0.000, 0.422, 0.838)
Tl (0.000, 0.578, 0.162)
Ag (0.500, 0.633, 0.279)
Ag (0.500, 0.367, 0.721)

Values from the calculation:
* SG: P2/m
* total energy: -2.49 eV/atom
* formation enthalpy at 0 K: -0.2108 eV per atom
* crystal system: monoclinic


Entry from Alexandria: an optimized crystal structure of NaLaPb (PBE).

Cell: 3.692 5.364 5.364 Å, 120.00 90.00 90.00°
Atoms (fractional coordinates):
Pb (0.826, 0.667, 0.333)
Na (0.840, 0.000, 0.000)
La (0.334, 0.333, 0.667)

Values from the calculation:
* SG: P3m1
* total energy: -3.61 eV/atom
* formation enthalpy at 0 K: -0.2932 eV per atom
* crystal system: trigonal